Compound: MgRe2
Source: Alexandria
Functional: PBE-GGA
Structure: relaxed

Geometry as POSCAR:
```
MgRe2
1.0
4.5061 0.0000 0.0000
-2.2531 3.9024 0.0000
0.0000 0.0000 5.2153
Mg Re
2 4
Direct
0.3333 0.6667 0.2500 Mg
0.6667 0.3333 0.7500 Mg
0.0000 0.0000 0.0000 Re
0.0000 0.0000 0.5000 Re
0.3333 0.6667 0.7500 Re
0.6667 0.3333 0.2500 Re
```

Computed properties:
- Crystal system: hexagonal

=====

Compound: Mg3Re
Source: Alexandria
Functional: PBE-GGA
Structure: relaxed

Geometry as POSCAR:
```
Mg3Re
1.0
4.7834 0.0000 0.0000
0.0000 5.7714 0.0000
0.0000 0.0000 5.1746
Mg Re
6 2
Direct
0.2500 0.0022 0.1616 Mg
0.2500 0.4978 0.1616 Mg
0.2500 0.7500 0.6379 Mg
0.7500 0.2500 0.3621 Mg
0.7500 0.5022 0.8384 Mg
0.7500 0.9978 0.8384 Mg
0.2500 0.2500 0.6563 Re
0.7500 0.7500 0.3437 Re
```

Computed properties:
- Crystal system: orthorhombic

=====

Compound: MgRe2
Source: Alexandria
Functional: PBE-GGA
Structure: relaxed

Geometry as POSCAR:
```
MgRe2
1.0
4.9624 -1.5550 0.0000
4.9624 1.5550 0.0000
-2.2630 0.0000 6.0323
Mg Re
2 4
Direct
0.1704 0.1704 0.3275 Mg
0.8296 0.8296 0.6725 Mg
0.1557 0.1557 0.8407 Re
0.5000 0.5000 0.0000 Re
0.5000 0.5000 0.5000 Re
0.8443 0.8443 0.1593 Re
```

Computed properties:
- Crystal system: monoclinic

=====

Compound: MgRe2
Source: Alexandria
Functional: PBE-GGA
Structure: relaxed

Geometry as POSCAR:
```
MgRe2
1.0
4.4787 0.0000 0.0000
-2.2393 3.8786 0.0000
0.0000 0.0000 5.8365
Mg Re
2 4
Direct
0.0000 0.0000 0.2500 Mg
0.0000 0.0000 0.7500 Mg
0.3333 0.6667 0.0451 Re
0.3333 0.6667 0.4549 Re
0.6667 0.3333 0.5451 Re
0.6667 0.3333 0.9549 Re
```

Computed properties:
- Crystal system: hexagonal

=====

Compound: Mg3Re
Source: Alexandria
Functional: PBE-GGA
Structure: relaxed

Geometry as POSCAR:
```
Mg3Re
1.0
5.8915 0.0000 0.0000
-2.9457 5.1022 0.0000
0.0000 0.0000 4.8143
Mg Re
6 2
Direct
0.1740 0.3481 0.2500 Mg
0.1740 0.8260 0.2500 Mg
0.3481 0.1740 0.7500 Mg
0.6519 0.8260 0.2500 Mg
0.8260 0.1740 0.7500 Mg
0.8260 0.6519 0.7500 Mg
0.3333 0.6667 0.7500 Re
0.6667 0.3333 0.2500 Re
```

Computed properties:
- Crystal system: hexagonal

=====

Compound: Mg3Re
Source: Alexandria
Functional: PBE-GGA
Structure: relaxed

Geometry as POSCAR:
```
Mg3Re
1.0
-1.4166 4.7876 2.6299
1.4166 -4.7876 2.6299
1.4166 4.7876 -2.6299
Mg Re
3 1
Direct
0.0000 0.0000 0.0000 Mg
0.0809 0.3217 0.7592 Mg
0.5625 0.3217 0.2408 Mg
0.5137 0.0137 0.5000 Re
```

Computed properties:
- Crystal system: orthorhombic

=====

Compound: MgRe4
Source: Alexandria
Functional: PBE-GGA
Structure: relaxed

Geometry as POSCAR:
```
MgRe4
1.0
-3.0772 3.0772 2.0223
3.0772 -3.0772 2.0223
3.0772 3.0772 -2.0223
Mg Re
1 4
Direct
0.0000 0.0000 0.0000 Mg
0.2021 0.4171 0.6192 Re
0.4171 0.7979 0.2150 Re
0.5829 0.2021 0.7850 Re
0.7979 0.5829 0.3808 Re
```

Computed properties:
- Crystal system: tetragonal

=====

Compound: MgRe5
Source: Alexandria
Functional: PBE-GGA
Structure: relaxed

Geometry as POSCAR:
```
MgRe5
1.0
0.0000 3.6521 3.6521
3.6521 0.0000 3.6521
3.6521 3.6521 0.0000
Mg Re
1 5
Direct
0.0000 0.0000 0.0000 Mg
0.1224 0.6259 0.6259 Re
0.2500 0.2500 0.2500 Re
0.6259 0.1224 0.6259 Re
0.6259 0.6259 0.1224 Re
0.6259 0.6259 0.6259 Re
```

Computed properties:
- Crystal system: cubic

=====

Compound: Mg3Re
Source: Alexandria
Functional: PBE-GGA
Structure: relaxed

Geometry as POSCAR:
```
Mg3Re
1.0
2.8431 -4.4103 0.0000
2.8431 4.4103 0.0000
0.0000 0.0000 2.8331
Mg Re
3 1
Direct
0.0000 0.0000 0.0000 Mg
0.0000 0.5000 0.5000 Mg
0.5000 0.0000 0.5000 Mg
0.5000 0.5000 0.0000 Re
```

Computed properties:
- Crystal system: orthorhombic

=====

Compound: Mg3Re
Source: Alexandria
Functional: PBE-GGA
Structure: relaxed

Geometry as POSCAR:
```
Mg3Re
1.0
4.9038 0.0000 0.0000
0.0000 4.9038 0.0000
0.0000 0.0000 2.9639
Mg Re
3 1
Direct
0.0000 0.0000 0.0000 Mg
0.0000 0.5000 0.5000 Mg
0.5000 0.0000 0.5000 Mg
0.5000 0.5000 0.0000 Re
```

Computed properties:
- Crystal system: tetragonal

=====

Compound: Mg2Re
Source: Alexandria
Functional: PBE-GGA
Structure: relaxed

Geometry as POSCAR:
```
Mg2Re
1.0
-1.3809 1.3809 6.9463
1.3809 -1.3809 6.9463
1.3809 1.3809 -6.9463
Mg Re
2 1
Direct
0.1550 0.1550 0.0000 Mg
0.8450 0.8450 0.0000 Mg
0.5000 0.5000 0.0000 Re
```

Computed properties:
- Crystal system: tetragonal

=====

Compound: Mg2Re
Source: Alexandria
Functional: PBE-GGA
Structure: relaxed

Geometry as POSCAR:
```
Mg2Re
1.0
-3.4670 3.4670 2.4883
3.4670 -3.4670 2.4883
3.4670 3.4670 -2.4883
Mg Re
4 2
Direct
0.1739 0.6739 0.8478 Mg
0.3261 0.1739 0.5000 Mg
0.6739 0.8261 0.5000 Mg
0.8261 0.3261 0.1522 Mg
0.2500 0.2500 0.0000 Re
0.7500 0.7500 0.0000 Re
```

Computed properties:
- Crystal system: tetragonal

=====

ΔE_f readings, ordered: 0.667 0.405 0.266 0.244 0.410 0.287 0.268 0.359 0.305 0.413 0.333 0.309 eV/atom
DFT total energy readings, ordered: -8.164 -3.903 -8.564 -8.586 -3.898 -4.021 -10.009 -10.280 -4.003 -3.895 -4.880 -4.903 eV/atom